Record 1
The following is a GGA-PBE calculation of CoSn2Sb4 after structural relaxation, from Alexandria.

Cell: 4.7604 4.7604 17.0582 Å, 90.00 90.00 90.00°
With the nearest neighbours (Å) after each atom.
Space group I4/mmm (No. 139)
Symmetry-distinct sites (fractional):
Co (0.0000, 0.0000, 0.0000) [2 per cell]  4 Sb 2.38
Sn (0.0000, 0.0000, 0.3395) [4 per cell]  5 Sb 3.09-3.37
Sb (0.0000, 0.0000, 0.1585) [4 per cell]  1 Co 2.70
Sb (0.0000, 0.5000, 0.0000) [4 per cell]  2 Co 2.38

Results
Uncorrected formation energy   0.262 eV per atom
Fermi-level density of states   4.86 states/eV/f.u.

Record 2
The following is a GGA-PBE calculation of Co3SnSb after structural relaxation, from Alexandria.

Cell: 4.6781 4.6781 4.6781 Å, 90.00 90.00 90.00°
With the nearest neighbours (Å) after each atom.
Space group Pm-3m (No. 221)
Symmetry-distinct sites (fractional):
Co (0.0000, 0.0000, 0.5000) [3 per cell]  2 Sb 2.34
Sn (0.5000, 0.5000, 0.5000) [1 per cell]  12 Co 3.31
Sb (0.0000, 0.0000, 0.0000) [1 per cell]  6 Co 2.34

Results
Uncorrected formation energy   0.973 eV per atom
Distance to the lowest polymorph of the same formula   0 meV/atom
Fermi-level density of states   4.18 states/eV/f.u.

Record 3
The following is a GGA-PBE calculation of Co3SnSb5 after structural relaxation, from Alexandria.

Cell: 5.7029 3.3145 19.4114 Å, 90.00 90.49 90.00°
With the nearest neighbours (Å) after each atom.
Space group P2/m (No. 10)
Symmetry-distinct sites (fractional):
Co (0.0000, 0.0000, 0.0000) [1 per cell]  6 Sb 2.56-2.57
Co (0.0051, 0.0000, 0.6646) [2 per cell]  5 Sb 2.54-2.56, 1 Sn 2.61
Co (0.4896, 0.5000, 0.8351) [2 per cell]  4 Sb 2.54-2.55, 2 Sn 2.62
Co (0.5000, 0.5000, 0.5000) [1 per cell]  6 Sb 2.56-2.58
Sn (0.2022, 0.0000, 0.2163) [2 per cell]  3 Co 2.61-2.62
Sb (0.1928, 0.0000, 0.8813) [2 per cell]  3 Co 2.54-2.56
Sb (0.1987, 0.0000, 0.5475) [2 per cell]  3 Co 2.54-2.56
Sb (0.2999, 0.5000, 0.7159) [2 per cell]  3 Co 2.55-2.56
Sb (0.3017, 0.5000, 0.3803) [2 per cell]  3 Co 2.56-2.58
Sb (0.3036, 0.5000, 0.0485) [2 per cell]  3 Co 2.54-2.57

Results
Uncorrected formation energy   -0.132 eV per atom
Fermi-level density of states   5.29 states/eV/f.u.

Record 4
The following is a GGA-PBE calculation of CoSnSb2 after structural relaxation, from Alexandria.

Cell: 3.7455 8.1546 5.9929 Å, 90.00 90.17 90.00°
With the nearest neighbours (Å) after each atom.
Space group P2_1/m (No. 11)
Symmetry-distinct sites (fractional):
Co (0.2501, 0.2500, 0.0136) [2 per cell]  2 Sn 2.67, 6 Sb 2.74-2.76
Sn (0.2485, 0.7500, 0.6684) [2 per cell]  2 Co 2.67
Sb (0.2510, 0.5605, 0.1973) [4 per cell]  3 Co 2.74-2.76

Results
Uncorrected formation energy   0.055 eV per atom
Fermi-level density of states   3.46 states/eV/f.u.

| no. | magnetization (μB/cell) | energy (hartree per atom) | mass density (g cm⁻³) |
| --- | --- | --- | --- |
| 1 | 0.00 | -0.1563 | 6.73 |
| 2 | 3.92 | -0.1806 | 6.77 |
| 3 | 0.00 | -0.1924 | 8.19 |
| 4 | 0.00 | -0.1758 | 7.64 |